No. 1
! RbLiPbF4 PBE optimized geometry; values from VASP
&SYSTEM
  ibrav = 0, nat = 14, ntyp = 4
/
ATOMIC_SPECIES
Rb 85.47 Rb.upf
Li 6.94 Li.upf
Pb 207.20 Pb.upf
F 19.00 F.upf
ATOMIC_POSITIONS angstrom
Rb 0.772 1.504 0.663
Rb 3.046 4.512 6.651
Li 0.754 1.504 5.190
Li 3.064 4.512 2.123
Pb 0.214 4.512 3.429
Pb 3.604 1.504 3.884
F -0.503 0.090 5.295
F -0.503 2.918 5.295
F 1.406 4.512 1.289
F 1.207 1.504 3.357
F 2.611 4.512 3.957
F 2.412 1.504 6.025
F 4.321 3.098 2.019
F 4.321 5.926 2.019
CELL_PARAMETERS angstrom
5.689 0.000 0.000
0.000 6.017 0.000
-1.871 0.000 7.313
! * space group: P2_1/m (11)

No. 2
! TbCeEr4 PBE optimized geometry; values from VASP
&SYSTEM
  ibrav = 0, nat = 12, ntyp = 3
/
ATOMIC_SPECIES
Tb 158.93 Tb.upf
Ce 140.12 Ce.upf
Er 167.26 Er.upf
ATOMIC_POSITIONS angstrom
Tb 3.240 3.711 7.836
Tb 3.240 -3.711 2.612
Ce 0.000 0.000 0.000
Ce 0.000 0.000 5.224
Er 1.656 0.975 7.836
Er 3.240 1.846 0.708
Er 3.240 1.846 4.516
Er 1.656 -0.975 2.612
Er 4.825 0.975 7.836
Er 3.240 -1.846 5.932
Er 3.240 -1.846 9.740
Er 4.825 -0.975 2.612
CELL_PARAMETERS angstrom
3.240 -5.617 0.000
3.240 5.617 0.000
0.000 0.000 10.448
! * space group: Cmcm (63)
! * formation enthalpy at 0 K: 249.5 meV per atom
! * ΔE to the lowest computed polymorph: 229 meV/atom

No. 3
! DyInRu2 PBE optimized geometry; values from VASP
&SYSTEM
  ibrav = 0, nat = 4, ntyp = 3
/
ATOMIC_SPECIES
Dy 162.50 Dy.upf
In 114.82 In.upf
Ru 101.07 Ru.upf
ATOMIC_POSITIONS angstrom
Dy 0.000 0.000 0.000
In 0.000 0.000 3.241
Ru 1.682 1.682 1.738
Ru 1.682 1.682 4.743
CELL_PARAMETERS angstrom
3.363 0.000 0.000
0.000 3.363 0.000
0.000 0.000 6.481
! * space group: P4/mmm (123)
! * formation enthalpy at 0 K: -112.3 meV per atom

No. 4
! NdTmLu4 PBE optimized geometry; values from VASP
&SYSTEM
  ibrav = 0, nat = 6, ntyp = 3
/
ATOMIC_SPECIES
Nd 144.24 Nd.upf
Tm 168.93 Tm.upf
Lu 174.97 Lu.upf
ATOMIC_POSITIONS angstrom
Nd 0.000 0.000 0.000
Tm 2.301 2.301 2.301
Lu 5.748 3.455 3.455
Lu 3.455 5.748 3.455
Lu 3.455 3.455 5.748
Lu 5.748 5.748 5.748
CELL_PARAMETERS angstrom
0.000 4.601 4.601
4.601 0.000 4.601
4.601 4.601 0.000
! * space group: F-43m (216)
! * formation enthalpy at 0 K: 280.9 meV per atom

No. 5
! TbIn2Pd2 PBE optimized geometry; values from VASP
&SYSTEM
  ibrav = 0, nat = 5, ntyp = 3
/
ATOMIC_SPECIES
Tb 158.93 Tb.upf
In 114.82 In.upf
Pd 106.42 Pd.upf
ATOMIC_POSITIONS angstrom
Tb 0.000 0.000 0.000
In 0.000 0.000 3.334
In 0.000 0.000 11.762
Pd 0.000 0.000 6.197
Pd 0.000 0.000 8.899
CELL_PARAMETERS angstrom
2.430 1.403 5.032
-2.430 1.403 5.032
0.000 -2.806 5.032
! * space group: R-3m (166)
! * formation enthalpy at 0 K: -620.1 meV per atom

No. 6
! Ce2NdSn3 PBE optimized geometry; values from VASP
&SYSTEM
  ibrav = 0, nat = 6, ntyp = 3
/
ATOMIC_SPECIES
Ce 140.12 Ce.upf
Nd 144.24 Nd.upf
Sn 118.71 Sn.upf
ATOMIC_POSITIONS angstrom
Ce 2.929 5.897 0.000
Ce 2.929 -5.897 0.000
Nd 2.929 0.000 0.000
Sn 0.000 0.000 1.640
Sn 2.929 2.959 1.640
Sn 2.929 -2.959 1.640
CELL_PARAMETERS angstrom
2.929 -8.799 0.000
2.929 8.799 0.000
0.000 0.000 3.280
! * space group: Cmmm (65)
! * formation enthalpy at 0 K: -617.6 meV per atom
! * ΔE to the lowest computed polymorph: 0 meV/atom

no.,calculated density (g/cm³),E_tot (eV/cell)
1,4.983,-64.62
2,8.454,-54.64
3,10.859,-26.34
4,8.633,-25.64
5,9.700,-23.59
6,7.667,-32.35